Below is a relaxed Sc3Te2H2 crystal, with properties calculated at the PBE level.

Calculated values
* total DFT energy (no corrections): -5.4375 eV per atom
* space group: Immm
* Fermi-level density of states: 4.502 states/eV/f.u.
* calculated density: 4.845 g/cm³
* magnetic moment: 0.00 μB per cell

Unit cell a=3.755 b=4.096 c=9.168 alpha=102.92 beta=101.83 gamma=89.99
Positions (direct):
Sc 0.000 0.000 0.000
Sc 0.600 0.601 0.201
Sc 0.400 0.399 0.799
Te 0.835 0.835 0.670
Te 0.165 0.165 0.330
H 0.500 0.246 0.000
H 0.500 0.754 0.000



Below is a relaxed VGeRh crystal, with properties calculated at the PBE level.

Calculated values
* space group: P-6m2
* Fermi-level density of states: 1.690 states/eV/f.u.
* calculated density: 8.825 g/cm³
* magnetic moment: 0.00 μB per cell
* E_form: -0.406 eV/atom

Unit cell a=2.761 b=4.222 c=4.222 alpha=120.00 beta=90.00 gamma=90.00
Positions (direct):
Ge 0.500 0.667 0.333
Rh 0.500 0.333 0.667
V 0.000 0.000 0.000



Below is a relaxed AcH8Ir2Pb crystal, with properties calculated at the PBE level.

Calculated values
* total DFT energy (no corrections): -4.4140 eV per atom
* space group: R-3m
* Fermi-level density of states: 2.120 states/eV/f.u.
* calculated density: 10.053 g/cm³
* magnetic moment: 0.00 μB per cell

Unit cell a=5.055 b=5.055 c=6.827 alpha=68.27 beta=68.27 gamma=60.00
Positions (direct):
Ac 0.500 0.500 0.500
H 0.185 0.185 0.444
H 0.470 0.469 0.157
H 0.815 0.815 0.556
H 0.903 0.470 0.157
H 0.097 0.530 0.843
H 0.469 0.903 0.157
H 0.531 0.097 0.843
H 0.530 0.531 0.843
Ir 0.273 0.273 0.180
Ir 0.727 0.727 0.820
Pb 0.000 0.000 0.000